No. 1
A relaxed structure of K3ErTm2S6, computed with PBE.

a b c (Å): 6.936 6.936 7.715
angles (deg): 98.62 98.62 120.00
Fractional coordinates of all 12 atoms:
K1 0.000 0.000 0.000
K2 0.333 0.667 0.000
K3 0.667 0.333 0.000
Er1 0.500 0.500 0.500
Tm1 0.167 0.833 0.500
Tm2 0.833 0.167 0.500
S1 0.099 0.433 0.300
S2 0.232 0.232 0.700
S3 0.433 0.099 0.300
S4 0.567 0.901 0.700
S5 0.768 0.768 0.300
S6 0.901 0.567 0.700

Computed properties:
The value obtained for the electronic total energy is -5.35 eV/atom. The density comes out at 4.4 g/cm³. The total magnetization comes out at 0.00 μB/f.u.



No. 2
A relaxed structure of KEr4TmS8, computed with PBE.

a b c (Å): 8.135 8.135 8.135
angles (deg): 60.12 60.12 60.12
Fractional coordinates of all 14 atoms:
K1 0.000 0.000 0.000
Er1 0.110 0.629 0.629
Er2 0.249 0.249 0.249
Er3 0.629 0.110 0.629
Er4 0.629 0.629 0.110
Tm1 0.629 0.629 0.629
S1 0.382 0.382 0.382
S2 0.382 0.382 0.852
S3 0.382 0.852 0.382
S4 0.425 0.857 0.857
S5 0.852 0.382 0.382
S6 0.857 0.425 0.857
S7 0.857 0.857 0.425
S8 0.858 0.858 0.858

Computed properties:
The value obtained for the electronic total energy is -5.99 eV/atom. The density comes out at 4.9 g/cm³. The total magnetization comes out at 0.00 μB/f.u.



No. 3
A relaxed structure of K3Er2TmS6, computed with PBE.

a b c (Å): 6.947 6.947 7.716
angles (deg): 98.63 98.63 120.00
Fractional coordinates of all 12 atoms:
K1 0.000 0.000 0.000
K2 0.333 0.667 0.000
K3 0.667 0.333 0.000
Er1 0.167 0.833 0.500
Er2 0.833 0.167 0.500
Tm1 0.500 0.500 0.500
S1 0.101 0.433 0.300
S2 0.234 0.234 0.700
S3 0.433 0.101 0.300
S4 0.567 0.899 0.700
S5 0.766 0.766 0.300
S6 0.899 0.567 0.700

Computed properties:
The value obtained for the electronic total energy is -5.36 eV/atom. The density comes out at 4.4 g/cm³. The total magnetization comes out at 0.00 μB/f.u.



No. 4
A relaxed structure of K2ErUS4, computed with PBE.

a b c (Å): 6.998 4.035 7.753
angles (deg): 90.00 107.50 90.00
Fractional coordinates of all 8 atoms:
K1 0.000 0.000 0.000
K2 0.500 0.500 0.000
Er1 0.000 0.500 0.500
U1 0.500 0.000 0.500
S1 0.231 0.000 0.702
S2 0.263 0.500 0.297
S3 0.737 0.500 0.703
S4 0.769 0.000 0.298

Computed properties:
The value obtained for the electronic total energy is -5.93 eV/atom. The density comes out at 4.9 g/cm³. The total magnetization comes out at 3.01 μB/f.u.



No. 5
A relaxed structure of K3Er2US6, computed with PBE.

a b c (Å): 7.003 7.003 7.733
angles (deg): 98.68 98.68 120.02
Fractional coordinates of all 12 atoms:
K1 0.000 0.000 0.000
K2 0.333 0.667 0.000
K3 0.667 0.333 0.000
Er1 0.167 0.833 0.500
Er2 0.833 0.167 0.500
U1 0.500 0.500 0.500
S1 0.096 0.433 0.299
S2 0.230 0.230 0.702
S3 0.433 0.096 0.299
S4 0.567 0.904 0.701
S5 0.770 0.770 0.298
S6 0.904 0.567 0.701

Computed properties:
The value obtained for the electronic total energy is -5.73 eV/atom. The density comes out at 4.7 g/cm³. The total magnetization comes out at 3.01 μB/f.u.



No. 6
A relaxed structure of K2ErUS6, computed with PBE.

a b c (Å): 7.353 7.353 12.736
angles (deg): 90.00 125.25 90.00
Fractional coordinates of all 20 atoms:
K1 0.250 0.001 0.250
K2 0.250 0.499 0.750
K3 0.750 0.501 0.250
K4 0.750 0.999 0.750
Er1 0.000 0.000 0.500
Er2 0.000 0.500 0.000
U1 0.500 0.000 0.000
U2 0.500 0.500 0.500
S1 0.250 0.000 0.756
S2 0.250 0.500 0.256
S3 0.253 0.738 0.503
S4 0.253 0.762 0.003
S5 0.265 0.250 0.003
S6 0.265 0.250 0.503
S7 0.735 0.750 0.497
S8 0.735 0.750 0.997
S9 0.747 0.238 0.997
S10 0.747 0.262 0.497
S11 0.750 0.000 0.244
S12 0.750 0.500 0.744

Computed properties:
The value obtained for the electronic total energy is -5.61 eV/atom. The density comes out at 4.0 g/cm³. The total magnetization comes out at 0.00 μB/f.u.